A crystal of TlPt3O relaxed with PBEsol. Source: Alexandria via LeMat-Bulk, functional SCAN.

Summary:
- DOS(E_F): 0.98 states/eV/atom
- Uncorrected formation energy: 2.16 eV/atom
- Relative energy among the computed polymorphs: 1585 meV per atom
- Space group: No. 221

Cell: 5.0090 5.0090 5.0090 Å, 90.00 90.00 90.00°
Site moments in Bohr magnetons follow the coordinates.
Fractional positions:
Tl (0.0000, 0.0000, 0.0000)  -0.02
O (0.5000, 0.5000, 0.5000)  1.48
Pt (0.0000, 0.5000, 0.0000)  0.12
Pt (0.0000, 0.0000, 0.5000)  0.12
Pt (0.5000, 0.0000, 0.0000)  0.12